Density functional theory data (PBE) for PmNpIr after structural relaxation.

Values from the calculation:
formation energy = -98 meV/atom
V = 26.8 A^3/atom
energy above the most stable polymorph in this dataset = 0.038 eV per atom

abc: 6.8479 6.8479 6.8479
angles: 90.00 90.00 90.00
Space group F-43m (No. 216)
Inequivalent atoms, fractional coordinates:
Pm 0.0000 0.0000 0.0000 x4
Np 0.0000 0.0000 0.5000 x4
Ir 0.2500 0.2500 0.2500 x4